Version P
Material: FeAsOF2
Method: DFT, PBE+U
State: optimized geometry

```
FeAsOF2
1.0
4.037 0.000 0.000
0.000 4.037 0.000
0.000 0.000 3.978
Fe As O F
1 1 1 2
direct
0.000 0.000 0.000
0.500 0.500 0.500
0.000 0.000 0.500
0.000 0.500 0.000
0.500 0.000 0.000
```

Results
* size of the total moment: 1.020 μB/atom

Version Q
Material: FeAsOF2
Method: DFT, PBE+U
State: optimized geometry

```
FeAsOF2
1.0
4.377 0.000 0.000
0.000 4.377 0.000
0.000 0.000 3.962
Fe As O F
1 1 1 2
direct
0.000 0.000 0.000
0.500 0.500 0.500
0.500 0.500 0.000
0.000 0.500 0.500
0.500 0.000 0.500
```

Results
* size of the total moment: 0.979 μB/atom

Short version: version Q is the least stable of them.